Record 1
# PBE RbCrICl2, relaxed
# E_form (uncorrected) = -1.135 eV/atom
# symmetry = No. 123
# Fermi-level density of states = 0.291 states/eV per atom
data_RbCrICl2
_chemical_formula_sum 'Rb1 Cr1 I1 Cl2'
_symmetry_space_group_name_H-M 'P 1'
_symmetry_Int_Tables_number 1
_symmetry_space_group_name_Hall 'P 1'
_cell_length_a 5.056
_cell_length_b 5.056
_cell_length_c 5.754
_cell_angle_alpha 90.00
_cell_angle_beta 90.00
_cell_angle_gamma 90.00
loop_
_atom_site_label
_atom_site_type_symbol
_atom_site_fract_x
_atom_site_fract_y
_atom_site_fract_z
Rb1 Rb 0.000 0.000 0.000
Cr1 Cr 0.500 0.500 0.500
I1 I 0.500 0.500 0.000
Cl1 Cl 0.000 0.500 0.500
Cl2 Cl 0.500 0.000 0.500

***

Record 2
# PBE BaZrRu3, relaxed
# ΔE to the lowest computed polymorph = 0.00 eV/f.u.
# formation energy = 489 kJ/mol of formula units
# symmetry = No. 221
# Fermi-level density of states = 1.273 states/eV per atom
data_BaZrRu3
_chemical_formula_sum 'Ba1 Zr1 Ru3'
_symmetry_space_group_name_H-M 'P 1'
_symmetry_Int_Tables_number 1
_symmetry_space_group_name_Hall 'P 1'
_cell_length_a 4.992
_cell_length_b 4.992
_cell_length_c 4.992
_cell_angle_alpha 90.00
_cell_angle_beta 90.00
_cell_angle_gamma 90.00
loop_
_atom_site_label
_atom_site_type_symbol
_atom_site_fract_x
_atom_site_fract_y
_atom_site_fract_z
Ba1 Ba 0.000 0.000 0.000
Zr1 Zr 0.500 0.500 0.500
Ru1 Ru 0.000 0.500 0.500
Ru2 Ru 0.500 0.000 0.500
Ru3 Ru 0.500 0.500 0.000

***

Record 3
# PBE MgCr, relaxed
# ΔE to the lowest computed polymorph = 0.63 eV/f.u.
# formation energy = 108 kJ/mol of formula units
# symmetry = No. 221
# Fermi-level density of states = 0.677 states/eV per atom
data_MgCr
_chemical_formula_sum 'Mg1 Cr1'
_symmetry_space_group_name_H-M 'P 1'
_symmetry_Int_Tables_number 1
_symmetry_space_group_name_Hall 'P 1'
_cell_length_a 3.319
_cell_length_b 3.319
_cell_length_c 3.319
_cell_angle_alpha 90.00
_cell_angle_beta 90.00
_cell_angle_gamma 90.00
loop_
_atom_site_label
_atom_site_type_symbol
_atom_site_fract_x
_atom_site_fract_y
_atom_site_fract_z
Mg1 Mg 0.000 0.000 0.000
Cr1 Cr 0.500 0.500 0.500

***

Record 4
# PBE MnCd2Ni, relaxed
# ΔE to the lowest computed polymorph = 0.46 eV/f.u.
# formation energy = 73 kJ/mol of formula units
# symmetry = No. 160
# Fermi-level density of states = 0.662 states/eV per atom
data_MnCd2Ni
_chemical_formula_sum 'Mn3 Cd6 Ni3'
_symmetry_space_group_name_H-M 'P 1'
_symmetry_Int_Tables_number 1
_symmetry_space_group_name_Hall 'P 1'
_cell_length_a 2.930
_cell_length_b 2.930
_cell_length_c 27.974
_cell_angle_alpha 90.00
_cell_angle_beta 90.00
_cell_angle_gamma 120.00
loop_
_atom_site_label
_atom_site_type_symbol
_atom_site_fract_x
_atom_site_fract_y
_atom_site_fract_z
Mn1 Mn 0.000 0.000 0.000
Mn2 Mn 0.333 0.667 0.667
Mn3 Mn 0.667 0.333 0.333
Cd1 Cd 0.000 0.000 0.247
Cd2 Cd 0.000 0.000 0.476
Cd3 Cd 0.333 0.667 0.143
Cd4 Cd 0.333 0.667 0.914
Cd5 Cd 0.667 0.333 0.580
Cd6 Cd 0.667 0.333 0.810
Ni1 Ni 0.000 0.000 0.730
Ni2 Ni 0.333 0.667 0.397
Ni3 Ni 0.667 0.333 0.063

***

Record 5
# PBE HfPaFeOs, relaxed
# formation energy = -76 kJ/mol of formula units
# symmetry = No. 216
# Fermi-level density of states = 1.141 states/eV per atom
data_HfPaFeOs
_chemical_formula_sum 'Hf4 Pa4 Fe4 Os4'
_symmetry_space_group_name_H-M 'P 1'
_symmetry_Int_Tables_number 1
_symmetry_space_group_name_Hall 'P 1'
_cell_length_a 6.648
_cell_length_b 6.648
_cell_length_c 6.648
_cell_angle_alpha 90.00
_cell_angle_beta 90.00
_cell_angle_gamma 90.00
loop_
_atom_site_label
_atom_site_type_symbol
_atom_site_fract_x
_atom_site_fract_y
_atom_site_fract_z
Hf1 Hf 0.000 0.000 0.000
Hf2 Hf 0.000 0.500 0.500
Hf3 Hf 0.500 0.000 0.500
Hf4 Hf 0.500 0.500 0.000
Pa1 Pa 0.000 0.000 0.500
Pa2 Pa 0.000 0.500 0.000
Pa3 Pa 0.500 0.000 0.000
Pa4 Pa 0.500 0.500 0.500
Fe1 Fe 0.250 0.250 0.250
Fe2 Fe 0.250 0.750 0.750
Fe3 Fe 0.750 0.250 0.750
Fe4 Fe 0.750 0.750 0.250
Os1 Os 0.250 0.250 0.750
Os2 Os 0.250 0.750 0.250
Os3 Os 0.750 0.250 0.250
Os4 Os 0.750 0.750 0.750

***

Record 6
# PBE Rb3Na2InI6, relaxed
# E_form (uncorrected) = -1.225 eV/atom
# symmetry = No. 12
# Fermi-level density of states = 0.000 states/eV per atom
data_Rb3Na2InI6
_chemical_formula_sum 'Rb3 Na2 In1 I6'
_symmetry_space_group_name_H-M 'P 1'
_symmetry_Int_Tables_number 1
_symmetry_space_group_name_Hall 'P 1'
_cell_length_a 11.200
_cell_length_b 11.200
_cell_length_c 10.103
_cell_angle_alpha 103.11
_cell_angle_beta 103.11
_cell_angle_gamma 25.80
loop_
_atom_site_label
_atom_site_type_symbol
_atom_site_fract_x
_atom_site_fract_y
_atom_site_fract_z
Rb1 Rb 0.000 0.000 0.000
Rb2 Rb 0.337 0.337 0.665
Rb3 Rb 0.663 0.663 0.335
Na1 Na 0.329 0.329 0.160
Na2 Na 0.671 0.671 0.840
In1 In 0.000 0.000 0.500
I1 I 0.166 0.166 0.609
I2 I 0.174 0.174 0.067
I3 I 0.488 0.488 0.252
I4 I 0.512 0.512 0.748
I5 I 0.826 0.826 0.933
I6 I 0.834 0.834 0.391

***

Record 7
# PBE TlCd2Co2, relaxed
# ΔE to the lowest computed polymorph = 0.00 eV/f.u.
# formation energy = 159 kJ/mol of formula units
# symmetry = No. 127
# Fermi-level density of states = 2.322 states/eV per atom
data_TlCd2Co2
_chemical_formula_sum 'Tl2 Cd4 Co4'
_symmetry_space_group_name_H-M 'P 1'
_symmetry_Int_Tables_number 1
_symmetry_space_group_name_Hall 'P 1'
_cell_length_a 6.638
_cell_length_b 6.638
_cell_length_c 4.098
_cell_angle_alpha 90.00
_cell_angle_beta 90.00
_cell_angle_gamma 90.00
loop_
_atom_site_label
_atom_site_type_symbol
_atom_site_fract_x
_atom_site_fract_y
_atom_site_fract_z
Tl1 Tl 0.000 0.000 0.000
Tl2 Tl 0.500 0.500 0.000
Cd1 Cd 0.164 0.336 0.500
Cd2 Cd 0.336 0.836 0.500
Cd3 Cd 0.664 0.164 0.500
Cd4 Cd 0.836 0.664 0.500
Co1 Co 0.122 0.622 0.000
Co2 Co 0.378 0.122 0.000
Co3 Co 0.622 0.878 0.000
Co4 Co 0.878 0.378 0.000

***

Record 8
# PBE SrPmGaAg, relaxed
# formation energy = -127 kJ/mol of formula units
# symmetry = No. 216
# Fermi-level density of states = 0.941 states/eV per atom
data_SrPmGaAg
_chemical_formula_sum 'Sr4 Pm4 Ga4 Ag4'
_symmetry_space_group_name_H-M 'P 1'
_symmetry_Int_Tables_number 1
_symmetry_space_group_name_Hall 'P 1'
_cell_length_a 7.584
_cell_length_b 7.584
_cell_length_c 7.584
_cell_angle_alpha 90.00
_cell_angle_beta 90.00
_cell_angle_gamma 90.00
loop_
_atom_site_label
_atom_site_type_symbol
_atom_site_fract_x
_atom_site_fract_y
_atom_site_fract_z
Sr1 Sr 0.000 0.000 0.000
Sr2 Sr 0.000 0.500 0.500
Sr3 Sr 0.500 0.000 0.500
Sr4 Sr 0.500 0.500 0.000
Pm1 Pm 0.000 0.000 0.500
Pm2 Pm 0.000 0.500 0.000
Pm3 Pm 0.500 0.000 0.000
Pm4 Pm 0.500 0.500 0.500
Ga1 Ga 0.250 0.250 0.750
Ga2 Ga 0.250 0.750 0.250
Ga3 Ga 0.750 0.250 0.250
Ga4 Ga 0.750 0.750 0.750
Ag1 Ag 0.250 0.250 0.250
Ag2 Ag 0.250 0.750 0.750
Ag3 Ag 0.750 0.250 0.750
Ag4 Ag 0.750 0.750 0.250

***

Record 9
# PBE Nd5HgAu4, relaxed
# formation energy = -681 kJ/mol of formula units
# symmetry = No. 123
# Fermi-level density of states = 0.738 states/eV per atom
data_Nd5HgAu4
_chemical_formula_sum 'Nd5 Hg1 Au4'
_symmetry_space_group_name_H-M 'P 1'
_symmetry_Int_Tables_number 1
_symmetry_space_group_name_Hall 'P 1'
_cell_length_a 3.736
_cell_length_b 3.736
_cell_length_c 18.765
_cell_angle_alpha 90.00
_cell_angle_beta 90.00
_cell_angle_gamma 90.00
loop_
_atom_site_label
_atom_site_type_symbol
_atom_site_fract_x
_atom_site_fract_y
_atom_site_fract_z
Nd1 Nd 0.000 0.000 0.000
Nd2 Nd 0.000 0.000 0.198
Nd3 Nd 0.000 0.000 0.394
Nd4 Nd 0.000 0.000 0.606
Nd5 Nd 0.000 0.000 0.802
Hg1 Hg 0.500 0.500 0.500
Au1 Au 0.500 0.500 0.098
Au2 Au 0.500 0.500 0.297
Au3 Au 0.500 0.500 0.703
Au4 Au 0.500 0.500 0.902

***

Record 10
# PBE Pa2Cu5Pd12, relaxed
# formation energy = -484 kJ/mol of formula units
# symmetry = No. 12
# Fermi-level density of states = 0.512 states/eV per atom
data_Pa2Cu5Pd12
_chemical_formula_sum 'Pa2 Cu5 Pd12'
_symmetry_space_group_name_H-M 'P 1'
_symmetry_Int_Tables_number 1
_symmetry_space_group_name_Hall 'P 1'
_cell_length_a 7.173
_cell_length_b 7.173
_cell_length_c 6.653
_cell_angle_alpha 99.48
_cell_angle_beta 99.48
_cell_angle_gamma 67.41
loop_
_atom_site_label
_atom_site_type_symbol
_atom_site_fract_x
_atom_site_fract_y
_atom_site_fract_z
Pa1 Pa 0.230 0.770 0.000
Pa2 Pa 0.770 0.230 0.000
Cu1 Cu 0.000 0.000 0.500
Cu2 Cu 0.215 0.215 0.498
Cu3 Cu 0.344 0.344 0.838
Cu4 Cu 0.656 0.656 0.162
Cu5 Cu 0.785 0.785 0.502
Pd1 Pd 0.054 0.418 0.178
Pd2 Pd 0.129 0.129 0.837
Pd3 Pd 0.183 0.608 0.555
Pd4 Pd 0.392 0.817 0.445
Pd5 Pd 0.418 0.054 0.178
Pd6 Pd 0.438 0.438 0.229
Pd7 Pd 0.562 0.562 0.771
Pd8 Pd 0.582 0.946 0.822
Pd9 Pd 0.608 0.183 0.555
Pd10 Pd 0.817 0.392 0.445
Pd11 Pd 0.871 0.871 0.163
Pd12 Pd 0.946 0.582 0.822

***

Repeat the second record exactly.
# PBE BaZrRu3, relaxed
# ΔE to the lowest computed polymorph = 0.00 eV/f.u.
# formation energy = 489 kJ/mol of formula units
# symmetry = No. 221
# Fermi-level density of states = 1.273 states/eV per atom
data_BaZrRu3
_chemical_formula_sum 'Ba1 Zr1 Ru3'
_symmetry_space_group_name_H-M 'P 1'
_symmetry_Int_Tables_number 1
_symmetry_space_group_name_Hall 'P 1'
_cell_length_a 4.992
_cell_length_b 4.992
_cell_length_c 4.992
_cell_angle_alpha 90.00
_cell_angle_beta 90.00
_cell_angle_gamma 90.00
loop_
_atom_site_label
_atom_site_type_symbol
_atom_site_fract_x
_atom_site_fract_y
_atom_site_fract_z
Ba1 Ba 0.000 0.000 0.000
Zr1 Zr 0.500 0.500 0.500
Ru1 Ru 0.000 0.500 0.500
Ru2 Ru 0.500 0.000 0.500
Ru3 Ru 0.500 0.500 0.000